## SnAuS2 (PBE)

Data for crystalline SnAuS2 at its relaxed geometry.

Properties
Total moment in μB per atom: 0.00
Calculated density in g/cm3: 5.977
VASP energy in eV/atom: -3.949

a b c (Å): 5.838 5.838 7.442
angles (deg): 66.90 66.90 90.00
Fractional positions:
1 S 0.875 0.888 0.750
2 S 0.375 0.362 0.750
3 Au 0.750 0.250 0.500
4 Au 0.000 0.000 0.000
5 Sn 0.250 0.750 0.500
6 S 0.112 0.625 0.250
7 Sn 0.500 0.500 0.000
8 S 0.638 0.125 0.250

=====

## DyScS2 (PBE)

Data for crystalline DyScS2 at its relaxed geometry.

Properties
Total moment in μB per atom: 0.00
Calculated density in g/cm3: 5.812
E above lowest polymorph in eV/atom: 0.000

a b c (Å): 3.805 3.805 6.566
angles (deg): 73.16 73.16 60.00
Fractional positions:
1 Sc 0.000 0.000 0.000
2 Dy 0.500 0.500 0.500
3 S 0.745 0.745 0.766
4 S 0.255 0.255 0.234